LiCaUF8 | PBE-GGA | relaxed

Lattice parameters (Å, degrees): 6.656 6.656 6.656 132.81 132.81 68.96
Fractional coordinates of all 11 atoms:
1 Li 0.000 0.000 0.000
2 Ca 0.250 0.750 0.500
3 U 0.500 0.500 0.000
4 F 0.202 0.745 0.095
5 F 0.649 0.107 0.905
6 F 0.893 0.798 0.542
7 F 0.255 0.351 0.458
8 F 0.146 0.178 0.632
9 F 0.546 0.515 0.368
10 F 0.485 0.854 0.032
11 F 0.822 0.454 0.968

Space group ... I-4
Formation energy from raw total energies ... -3.509 eV/atom

YErAlIn | PBE-GGA | relaxed

Lattice parameters (Å, degrees): 3.588 3.588 7.690 90.00 90.00 90.00
Fractional coordinates of all 4 atoms:
1 Y 0.500 0.500 0.595
2 Er 0.500 0.500 0.119
3 Al 0.000 0.000 0.354
4 In 0.000 0.000 0.860

Energy relative to the elements ... -166 kJ/mol of formula units
Space group ... P4mm
Distance to the lowest polymorph of the same formula ... 0.0000 eV per atom

K3PuO3 | PBE-GGA | relaxed

Lattice parameters (Å, degrees): 7.080 7.080 7.060 93.19 93.19 116.05
Fractional coordinates of all 14 atoms:
1 K 0.651 0.651 0.372
2 K 0.203 0.797 0.500
3 K 0.797 0.203 0.500
4 K 0.260 0.740 0.000
5 K 0.740 0.260 0.000
6 K 0.349 0.349 0.628
7 Pu 0.797 0.797 0.867
8 Pu 0.203 0.203 0.133
9 O 0.922 0.922 0.177
10 O 0.832 0.549 0.718
11 O 0.549 0.832 0.718
12 O 0.168 0.451 0.282
13 O 0.451 0.168 0.282
14 O 0.078 0.078 0.823

Space group ... C2/m
Formation energy from raw total energies ... -1.797 eV/atom

Ba2AlBr | PBE-GGA | relaxed

Lattice parameters (Å, degrees): 4.522 5.230 6.936 90.00 90.00 90.00
Fractional coordinates of all 4 atoms:
1 Ba 0.000 0.000 0.875
2 Ba 0.500 0.500 0.375
3 Br 0.000 0.000 0.375
4 Al 0.500 0.500 0.875

Space group ... Pmmm
Distance to the lowest polymorph of the same formula ... 0.0906 eV per atom
Formation energy from raw total energies ... -0.764 eV/atom

Mo2RuRh | PBE-GGA | relaxed

Lattice parameters (Å, degrees): 9.202 9.202 9.202 17.23 17.23 17.23
Fractional coordinates of all 4 atoms:
1 Mo 0.000 0.000 0.000
2 Mo 0.500 0.500 0.500
3 Rh 0.250 0.250 0.250
4 Ru 0.750 0.750 0.750

Energy relative to the elements ... 10 kJ/mol of formula units
Space group ... R-3m
Distance to the lowest polymorph of the same formula ... 0.1074 eV per atom

LiHfAg2 | PBE-GGA | relaxed

Lattice parameters (Å, degrees): 4.673 4.673 4.673 60.00 60.00 60.00
Fractional coordinates of all 4 atoms:
1 Hf 0.500 0.500 0.500
2 Ag 0.250 0.250 0.250
3 Ag 0.750 0.750 0.750
4 Li 0.000 0.000 0.000

Energy relative to the elements ... 7 kJ/mol of formula units
Space group ... Fm-3m
Distance to the lowest polymorph of the same formula ... 0.0717 eV per atom